A plane-wave DFT calculation with GGA-PBE was carried out for an optimized crystal structure of LaSnSe2.

abc: 5.7950 5.7950 16.9001
angles: 90.00 90.00 90.00
With the nearest neighbours (Å) after each atom.
Space group I-42d (No. 122)
Inequivalent atoms, fractional coordinates:
La (0.0000, 0.0000, 0.0000)  4 Se 2.93
Sn (0.0000, 0.0000, 0.5000)  4 Se 2.96
Se (0.2456, 0.2500, 0.1250)  2 La 2.93, 2 Sn 2.96

Calculated values
N(E_F) = 5.13 states/eV/cell
Crystal system = tetragonal
Formation energy (no corrections) = -0.88 eV/atom